The following is a meta-GGA SCAN calculation of Mn2CoW at its PBEsol-relaxed geometry, from Alexandria.

a b c (Å): 3.1251 3.9939 7.7721
angles (deg): 90.00 90.00 90.00
Space group Immm (No. 71)
Unique sites:
Mn 0.0000 0.0000 0.2467 x4
Co 0.0000 0.5000 0.5000 x2
W 0.0000 0.5000 0.0000 x2

Properties
Energy above the lowest structure with this stoichiometry ... 0.42 eV per formula unit

***

The following is a meta-GGA SCAN calculation of MnCo2W at its PBEsol-relaxed geometry, from Alexandria.

a b c (Å): 4.1678 4.1678 2.8160
angles (deg): 90.00 90.00 90.00
Space group P4/mmm (No. 123)
Unique sites:
Mn 0.0000 0.0000 0.0000 x1
Co 0.0000 0.5000 0.5000 x2
W 0.5000 0.5000 0.0000 x1

Properties
Energy above the lowest structure with this stoichiometry ... 0.00 eV per formula unit

***

The following is a meta-GGA SCAN calculation of YMn2CoW at its PBEsol-relaxed geometry, from Alexandria.

a b c (Å): 4.5414 4.5414 4.2619
angles (deg): 90.00 90.00 90.00
Space group P4/mmm (No. 123)
Unique sites:
Y 0.0000 0.0000 0.0000 x1
Mn 0.0000 0.5000 0.0000 x2
Co 0.0000 0.0000 0.5000 x1
W 0.5000 0.5000 0.5000 x1

Properties
Uncorrected energy ... -28.164 eV/atom

***

The following is a meta-GGA SCAN calculation of Y2Mn5Co12 at its PBEsol-relaxed geometry, from Alexandria.

a b c (Å): 8.1120 8.1120 11.8873
angles (deg): 90.00 90.00 120.00
Space group R-3m (No. 166, hexagonal axes)
Unique sites:
Y 0.0000 0.0000 0.1521 x6
Mn 0.0000 0.0000 0.4106 x6
Mn 0.0000 0.5000 0.0000 x9
Co 0.0000 0.2920 0.5000 x18
Co 0.0107 0.5054 0.3475 x18

Properties
Uncorrected energy ... -18.650 eV/atom

***

The following is a meta-GGA SCAN calculation of MnZnCo at its PBEsol-relaxed geometry, from Alexandria.

a b c (Å): 2.5139 2.5139 10.5089
angles (deg): 90.00 90.00 90.00
Space group I4mm (No. 107)
Unique sites:
Mn 0.0000 0.0000 0.0000 x2
Zn 0.0000 0.0000 0.6826 x2
Co 0.0000 0.0000 0.3577 x2

Properties
Energy above the lowest structure with this stoichiometry ... 0.00 eV per formula unit

***

The following is a meta-GGA SCAN calculation of MnZnCo at its PBEsol-relaxed geometry, from Alexandria.

a b c (Å): 2.5019 2.5019 6.1480
angles (deg): 90.00 90.00 120.00
Space group P3m1 (No. 156)
Unique sites:
Mn 0.0000 0.0000 0.0000 x1
Zn 0.3333 0.6667 0.6453 x1
Co 0.6667 0.3333 0.3000 x1

Properties
Energy above the lowest structure with this stoichiometry ... 0.16 eV per formula unit

***

The following is a meta-GGA SCAN calculation of ZrMnCo2 at its PBEsol-relaxed geometry, from Alexandria.

a b c (Å): 5.9750 5.9750 5.9750
angles (deg): 90.00 90.00 90.00
Space group Fm-3m (No. 225)
Unique sites:
Zr 0.0000 0.0000 0.0000 x4
Mn 0.0000 0.0000 0.5000 x4
Co 0.2500 0.2500 0.2500 x8

Properties
Uncorrected energy ... -21.237 eV/atom

***

The following is a meta-GGA SCAN calculation of Zr4MnCo at its PBEsol-relaxed geometry, from Alexandria.

a b c (Å): 7.7733 7.7733 7.7733
angles (deg): 90.00 90.00 90.00
Space group F-43m (No. 216)
Unique sites:
Zr 0.1250 0.1250 0.1250 x16
Mn 0.2500 0.2500 0.7500 x4
Co 0.0000 0.0000 0.5000 x4

Properties
Uncorrected energy ... -25.733 eV/atom

***

Number 1: total magnetization 5.97 μB/f.u.. Number 2: total magnetization 6.64 μB/f.u.. Number 3: total magnetization 6.07 μB/f.u.. Number 4: total magnetization 19.39 μB/f.u.. Number 5: total magnetization 1.42 μB/f.u.. Number 6: total magnetization 2.93 μB/f.u.. Number 7: total magnetization 5.34 μB/f.u.. Number 8: total magnetization 3.65 μB/f.u..